## AlZnAg (PBE-GGA)

Data for an optimized crystal structure of AlZnAg.

Lattice parameters (Å, degrees): 2.9539 2.9539 6.5501 90.00 90.00 120.00
Sites, in units of the cell vectors:
1 Zn 0.3333 0.6667 0.6628
2 Al 0.6667 0.3333 0.3364
3 Ag 0.0000 0.0000 0.0008

DOS(E_F) in states/eV/f.u.: 0.70
DFT total energy in eV per atom: -2.66



## AlZnAg2 (PBE-GGA)

Data for an optimized crystal structure of AlZnAg2.

Lattice parameters (Å, degrees): 5.3721 5.3721 5.3721 146.09 130.09 61.71
Sites, in units of the cell vectors:
1 Ag 0.0065 0.0065 0.0000
2 Ag 0.7421 0.2421 0.5000
3 Zn 0.2546 0.7546 0.5000
4 Al 0.4969 0.4969 0.0000

DOS(E_F) in states/eV/f.u.: 0.74
DFT total energy in eV per atom: -2.71



## Al2Zn12Ag5 (PBE-GGA)

Data for an optimized crystal structure of Al2Zn12Ag5.

Lattice parameters (Å, degrees): 8.3521 7.1878 6.5181 90.37 90.00 125.52
Sites, in units of the cell vectors:
1 Zn 0.0609 0.5915 0.7978
2 Zn 0.0945 0.1890 0.1079
3 Zn 0.9391 0.4085 0.2022
4 Zn 0.4694 0.4085 0.2022
5 Zn 0.4474 0.8949 0.6979
6 Zn 0.6267 0.7984 0.4003
7 Zn 0.3733 0.2016 0.5997
8 Zn 0.1718 0.7984 0.4003
9 Zn 0.5526 0.1051 0.3021
10 Zn 0.9055 0.8110 0.8921
11 Zn 0.8282 0.2016 0.5997
12 Zn 0.5306 0.5915 0.7978
13 Al 0.7231 0.0000 0.0000
14 Al 0.2769 0.0000 0.0000
15 Ag 0.0000 0.0000 0.5000
16 Ag 0.7657 0.5313 0.4775
17 Ag 0.6658 0.3317 0.8989
18 Ag 0.3342 0.6683 0.1011
19 Ag 0.2343 0.4687 0.5225

DOS(E_F) in states/eV/f.u.: 5.31
DFT total energy in eV per atom: -1.91



## Al3Zn2Ag4 (PBE-GGA)

Data for an optimized crystal structure of Al3Zn2Ag4.

Lattice parameters (Å, degrees): 3.0068 4.7564 11.4148 78.80 90.00 108.43
Sites, in units of the cell vectors:
1 Al 0.6267 0.2533 0.3454
2 Al 0.3733 0.7467 0.6546
3 Al 0.0000 0.0000 0.0000
4 Ag 0.1206 0.2412 0.5637
5 Ag 0.3095 0.6189 0.8910
6 Ag 0.8794 0.7588 0.4363
7 Ag 0.6905 0.3811 0.1090
8 Zn 0.6135 0.2270 0.7795
9 Zn 0.3865 0.7730 0.2205

DOS(E_F) in states/eV/f.u.: 1.94
DFT total energy in eV per atom: -2.82



## Al12Zn2Ag5 (PBE-GGA)

Data for an optimized crystal structure of Al12Zn2Ag5.

Lattice parameters (Å, degrees): 7.5615 6.8968 8.1982 96.57 90.00 123.24
Sites, in units of the cell vectors:
1 Al 0.9083 0.4312 0.1429
2 Al 0.4771 0.5688 0.8571
3 Al 0.1834 0.7613 0.4306
4 Al 0.8166 0.2387 0.5694
5 Al 0.5778 0.7613 0.4306
6 Al 0.9249 0.8498 0.8063
7 Al 0.5229 0.4312 0.1429
8 Al 0.0917 0.5688 0.8571
9 Al 0.4573 0.9146 0.7232
10 Al 0.5427 0.0854 0.2768
11 Al 0.0751 0.1502 0.1937
12 Al 0.4222 0.2387 0.5694
13 Ag 0.2384 0.4768 0.5891
14 Ag 0.7616 0.5232 0.4109
15 Ag 0.0000 0.0000 0.5000
16 Ag 0.3217 0.6434 0.1448
17 Ag 0.6783 0.3566 0.8552
18 Zn 0.2776 0.0000 0.0000
19 Zn 0.7224 0.0000 0.0000

DOS(E_F) in states/eV/f.u.: 4.33
DFT total energy in eV per atom: -3.17



## AlZn2Ag (PBE-GGA)

Data for an optimized crystal structure of AlZn2Ag.

Lattice parameters (Å, degrees): 8.9038 8.9038 8.9038 18.89 18.89 18.89
Sites, in units of the cell vectors:
1 Ag 0.4995 0.4995 0.4995
2 Al 0.7481 0.7481 0.7481
3 Zn 0.0007 0.0007 0.0007
4 Zn 0.2517 0.2517 0.2517

DOS(E_F) in states/eV/f.u.: 0.70
DFT total energy in eV per atom: -2.30



## Al3ZnAg7 (PBE-GGA)

Data for an optimized crystal structure of Al3ZnAg7.

Lattice parameters (Å, degrees): 4.9729 6.9237 6.9237 87.02 113.10 113.10
Sites, in units of the cell vectors:
1 Ag 0.3253 0.0448 0.6008
2 Ag 0.2237 0.1885 0.1885
3 Ag 0.3253 0.6008 0.0448
4 Ag 0.7763 0.8115 0.8115
5 Ag 0.6746 0.9552 0.3992
6 Ag 0.6746 0.3992 0.9552
7 Ag 0.0000 0.5000 0.5000
8 Al 0.5000 0.0000 0.0000
9 Al 0.0000 0.7765 0.2235
10 Al 0.0000 0.2235 0.7765
11 Zn 0.5000 0.5000 0.5000

DOS(E_F) in states/eV/f.u.: 2.54
DFT total energy in eV per atom: -2.88



## AlZn2Ag (PBE-GGA)

Data for an optimized crystal structure of AlZn2Ag.

Lattice parameters (Å, degrees): 4.5133 4.5133 4.5133 60.00 60.00 60.00
Sites, in units of the cell vectors:
1 Ag 0.5000 0.5000 0.5000
2 Zn 0.7500 0.7500 0.7500
3 Zn 0.0000 0.0000 0.0000
4 Al 0.2500 0.2500 0.2500

DOS(E_F) in states/eV/f.u.: 2.12
DFT total energy in eV per atom: -2.19